Density functional theory data (PBE with a Hubbard U) for a relaxed structure of Tl3VF.

```
5
Lattice="5.519 0.000 0.000 0.000 5.519 0.000 0.000 0.000 5.519" Properties=species:S:1:pos:R:3 pbc="T T T"
Tl 0.000 2.760 0.000
V 0.000 0.000 0.000
Tl 0.000 0.000 2.760
Tl 2.760 0.000 0.000
F 2.760 2.760 2.760
```

Values from the calculation:
**Space group**: Pm-3m, No. 221
**Total DFT energy (no corrections)**: -15.70 eV/f.u.
**Fermi-level density of states**: 1.62 states/eV/f.u.
**Crystal system**: cubic